NiHS2 | GGA-PBE | optimized geometry

Properties
- total energy (eV per atom) = -4.4882
- DOS at the Fermi energy (states/eV/f.u.) = 1.4
- energy above the lowest structure with this stoichiometry (meV/atom) = 27

Unit cell a=3.538 b=5.914 c=5.826 alpha=92.67 beta=103.12 gamma=92.87
Fractional coordinates of all 8 atoms:
Ni1 0.519 0.701 0.761
Ni2 0.077 0.192 0.718
S1 0.515 0.013 0.533
S2 0.939 0.516 0.561
S3 0.522 0.402 0.993
S4 0.117 0.894 0.940
H1 0.294 0.942 0.189
H2 0.275 0.470 0.128

---

FePt2Pb | GGA-PBE | optimized geometry

Properties
- total energy (eV per atom) = -6.0847
- DOS at the Fermi energy (states/eV/f.u.) = 2.8
- formation enthalpy at 0 K (eV/atom) = -0.022

Unit cell a=3.260 b=3.075 c=7.156 alpha=90.00 beta=90.00 gamma=90.00
Site moments in Bohr magnetons follow the coordinates.
Fractional coordinates of all 4 atoms:
Pt1 0.000 0.000 0.051  0.27
Pt2 0.000 0.000 0.449  0.27
Fe1 0.500 0.500 0.250  3.23
Pb1 0.500 0.500 0.750  -0.01

---

Ti2HRhW | GGA-PBE | optimized geometry

Properties
- total energy (eV per atom) = -8.1754
- DOS at the Fermi energy (states/eV/f.u.) = 2.4
- energy above the lowest structure with this stoichiometry (meV/atom) = 18

Unit cell a=4.338 b=4.338 c=3.453 alpha=90.00 beta=90.00 gamma=90.00
Fractional coordinates of all 5 atoms:
H1 0.000 0.000 0.000
W1 0.000 0.000 0.500
Rh1 0.500 0.500 0.500
Ti1 0.500 0.000 0.000
Ti2 0.000 0.500 0.000